Below is a geometry-optimized CuMoClO4 structure, with properties calculated at the PBE with a Hubbard U level.

```
data_CuMoClO4
_space_group_name_H-M_alt 'C 1 2/m 1'
_space_group_IT_number 12
_space_group_name_Hall '-C 2y'
_cell_length_a 13.091
_cell_length_b 6.563
_cell_length_c 6.876
_cell_angle_alpha 90.00
_cell_angle_beta 113.47
_cell_angle_gamma 90.00
loop_
_atom_site_label
_atom_site_fract_x
_atom_site_fract_y
_atom_site_fract_z
Cu1 0.161 0.000 0.148
Mo1 0.169 0.500 0.296
Cl1 0.071 0.000 0.809
O1 0.045 0.500 0.327
O2 0.175 0.277 0.141
O3 0.216 0.000 0.443
```

Values from the calculation:
Volume (Å³/atom): 19.35
E_tot (eV per atom): -5.659